No. 1
DFT (PBE) results for a relaxed structure of SmUC.

a = 6.317 Å, b = 3.425 Å, c = 3.425 Å
α = 120.00°, β = 90.00°, γ = 90.00°
Last column: magnetic moment on the atom in μB.
Fractional coordinates of all 3 atoms:
C 0.019 0.000 0.000  -0.05
U 0.220 0.667 0.333  1.88
Sm 0.760 0.333 0.667  0.01

Values from the calculation:
polymorph energy (0 for the lowest one): 0.0000 eV per atom
spin magnetization: 2.18 μB per formula unit
DFT formation energy: 0.061 eV/atom
Fermi-level density of states: 4.89 states/eV/cell
DFT total energy: -8.35 eV per atom

***

No. 2
DFT (PBE) results for a relaxed structure of La8TcPd2.

a = 6.615 Å, b = 7.827 Å, c = 7.827 Å
α = 111.38°, β = 102.25°, γ = 102.25°
Fractional coordinates of all 11 atoms:
La 0.598 0.353 0.088
Tc 0.174 0.003 0.003
Pd 0.486 0.320 0.693
La 0.182 0.361 0.361
Pd 0.486 0.693 0.320
La 0.991 0.187 0.816
La 0.991 0.816 0.187
La 0.344 0.914 0.658
La 0.805 0.642 0.642
La 0.598 0.088 0.353
La 0.344 0.658 0.914

Values from the calculation:
spin magnetization: 0.00 μB per formula unit
DFT formation energy: -0.225 eV/atom
Fermi-level density of states: 12.24 states/eV/cell
DFT total energy: -5.70 eV per atom

***

No. 3
DFT (PBE) results for a relaxed structure of NaMgInHg.

a = 3.324 Å, b = 3.324 Å, c = 8.841 Å
α = 90.00°, β = 90.00°, γ = 90.00°
Fractional coordinates of all 4 atoms:
Mg 0.000 0.000 0.565
In 0.500 0.500 0.800
Hg 0.500 0.500 0.339
Na 0.000 0.000 0.080

Values from the calculation:
polymorph energy (0 for the lowest one): 0.0000 eV per atom
spin magnetization: 0.00 μB per formula unit
DFT formation energy: -0.175 eV/atom
Fermi-level density of states: 1.60 states/eV/cell
DFT total energy: -1.66 eV per atom

***

No. 4
DFT (PBE) results for a relaxed structure of Pa2TaNb2N6.

a = 5.722 Å, b = 5.722 Å, c = 5.362 Å
α = 98.97°, β = 98.97°, γ = 118.76°
Fractional coordinates of all 11 atoms:
Nb 0.848 0.152 0.000
N 0.772 0.772 0.769
Ta 0.000 0.000 0.500
Nb 0.152 0.848 0.000
Pa 0.654 0.346 0.500
N 0.395 0.057 0.736
Pa 0.346 0.654 0.500
N 0.228 0.228 0.231
N 0.057 0.395 0.736
N 0.943 0.605 0.264
N 0.605 0.943 0.264

Values from the calculation:
spin magnetization: 0.00 μB per formula unit
Fermi-level density of states: 4.49 states/eV/cell
E_form (uncorrected): -1.19 eV/atom
DFT total energy: -10.37 eV per atom

***

> Which formula does entry 1 have?

SmUC